Entry from Alexandria via LeMat-Bulk: a relaxed structure of AcYCdIn (GGA-PBE).

Summary:
E, eV per atom: -3.92
Total magnetization, μB per cell: 0.0
Theoretical density, Mg/m³: 7.34
ΔH_f (0 K), eV per atom: -0.363

a = 7.890 Å, b = 7.890 Å, c = 7.890 Å
α = 90.00°, β = 90.00°, γ = 90.00°
Space group F-43m (No. 216)
Unique sites:
Ac1 0.000 0.000 0.000
Y1 0.000 0.000 0.500
Cd1 0.250 0.250 0.750
In1 0.250 0.250 0.250

---

Entry from Alexandria via LeMat-Bulk: a relaxed structure of ZrPaTl2 (GGA-PBE).

Summary:
E, eV per atom: -5.61
Total magnetization, μB per cell: 0.8
Theoretical density, Mg/m³: 12.44
Relative energy among the computed polymorphs, meV per atom: 0
ΔH_f (0 K), eV per atom: 0.082

a = 3.261 Å, b = 3.261 Å, c = 9.181 Å
α = 90.00°, β = 90.00°, γ = 90.00°
Space group P4/mmm (No. 123)
Unique sites:
Zr1 0.000 0.000 0.000
Pa1 0.000 0.000 0.500
Tl1 0.500 0.500 0.236

---

Entry from Alexandria via LeMat-Bulk: a relaxed structure of MgFeRu (GGA-PBE).

Summary:
E, eV per atom: -4.80
Total magnetization, μB per cell: 4.2
Theoretical density, Mg/m³: 4.20
Relative energy among the computed polymorphs, meV per atom: 1588
ΔH_f (0 K), eV per atom: 1.645

a = 4.4021 Å, b = 4.4021 Å, c = 8.5314 Å
α = 90.00°, β = 90.00°, γ = 120.00°
Space group P6_3/mmc (No. 194)
Unique sites:
Mg1 0.3333 0.6667 0.2500
Fe1 0.0000 0.0000 0.2500
Ru1 0.0000 0.0000 0.0000

---

Entry from Alexandria via LeMat-Bulk: a relaxed structure of Pr3Y8Er2 (GGA-PBE).

Summary:
E, eV per atom: -5.54
Total magnetization, μB per cell: 0.0
Theoretical density, Mg/m³: 5.47
ΔH_f (0 K), eV per atom: 0.247

a = 20.098 Å, b = 7.776 Å, c = 5.709 Å
α = 90.00°, β = 90.07°, γ = 90.00°
Space group C2/m (No. 12)
Unique sites:
Pr1 0.000 0.000 0.000
Pr2 0.000 0.293 0.500
Y1 0.109 0.291 0.000
Y2 0.136 0.000 0.499
Y3 0.174 0.500 0.501
Er1 0.241 0.000 0.998

---

Entry from Alexandria via LeMat-Bulk: a relaxed structure of NpNi2Te (GGA-PBE).

Summary:
E, eV per atom: -6.95
Total magnetization, μB per cell: 10.5
Theoretical density, Mg/m³: 11.16
Formation energy from raw total energies, eV per formula unit: -0.2

a = 4.1980 Å, b = 4.1980 Å, c = 14.0988 Å
α = 90.00°, β = 90.00°, γ = 120.00°
Space group R-3m (No. 166, hexagonal axes)
Unique sites:
Np1 0.0000 0.0000 0.0000
Ni1 0.0000 0.0000 0.2311
Te1 0.0000 0.0000 0.5000

---

Entry from Alexandria via LeMat-Bulk: a relaxed structure of ReC3F (GGA-PBE).

Summary:
E, eV per atom: -6.86
Total magnetization, μB per cell: 0.0
Theoretical density, Mg/m³: 6.17
Formation energy from raw total energies, eV per formula unit: 7.7
Relative energy among the computed polymorphs, meV per atom: 0

a = 4.019 Å, b = 4.019 Å, c = 4.019 Å
α = 90.00°, β = 90.00°, γ = 90.00°
Space group Pm-3m (No. 221)
Unique sites:
Re1 0.000 0.000 0.000
C1 0.000 0.000 0.500
F1 0.500 0.500 0.500